1.
Material: MgScBeZn
Method: DFT, PBE
State: relaxed

Results
- E: -3.335 eV/atom

abc: 6.408 6.408 6.408
angles: 90.00 90.00 90.00
Fractional positions:
Mg: 0.000 0.000 0.000
Mg: 0.000 0.500 0.500
Mg: 0.500 0.000 0.500
Mg: 0.500 0.500 0.000
Sc: 0.000 0.000 0.500
Sc: 0.000 0.500 0.000
Sc: 0.500 0.000 0.000
Sc: 0.500 0.500 0.500
Be: 0.250 0.250 0.250
Be: 0.250 0.750 0.750
Be: 0.750 0.250 0.750
Be: 0.750 0.750 0.250
Zn: 0.250 0.250 0.750
Zn: 0.250 0.750 0.250
Zn: 0.750 0.250 0.250
Zn: 0.750 0.750 0.750


2.
Material: MgBe2Se
Method: DFT, PBE
State: relaxed

Results
- Formation energy without anion corrections: 0.344 eV per atom
- E: -2.789 eV/atom

abc: 3.419 3.698 10.138
angles: 90.00 90.00 90.00
Fractional positions:
Mg: 0.000 0.000 0.000
Mg: 0.500 0.500 0.500
Be: 0.000 0.500 0.234
Be: 0.000 0.500 0.766
Be: 0.500 0.000 0.266
Be: 0.500 0.000 0.734
Se: 0.000 0.000 0.500
Se: 0.500 0.500 0.000


no.,magnetization (Bohr magnetons per cell),DOS at the Fermi energy (states/eV per cell)
1,0.00,8.17
2,0.00,1.54